First-principles (PBE) data for a relaxed structure of LaAgS2, as listed in the Alexandria database.

## Properties
- M_tot: 0.00 μB per formula unit
- DOS(E_F): 0.304 states/eV/atom
- SG: Cmcm (63)
- Final energy: -4.7338 eV/atom
- Formation energy from raw total energies: -70.0 kJ/mol of atoms

Lattice parameters (Å, degrees): 9.7311 9.7311 5.6969 90.00 90.00 154.53
Atoms (fractional coordinates):
S  0.2200  0.7800  0.2500
S  0.7800  0.2200  0.7500
S  0.9309  0.0691  0.2500
S  0.0691  0.9309  0.7500
Ag  0.3473  0.6527  0.2500
Ag  0.6527  0.3473  0.7500
La  0.0882  0.9118  0.2500
La  0.9118  0.0882  0.7500